1.
Computed, not measured: a geometry-optimized BaMg2Ta structure at the GGA-PBE level of DFT.

E, eV per atom: -3.7236

Cell and atoms, written as CIF:
```
data_BaMg2Ta
_cell_length_a 3.209
_cell_length_b 3.209
_cell_length_c 9.996
_cell_angle_alpha 90.00
_cell_angle_beta 90.00
_cell_angle_gamma 90.00
_space_group_name_H-M_alt 'P 1'
_space_group_IT_number 1
loop_
_space_group_symop_operation_xyz
'x,y,z'
loop_
_atom_site_label
_atom_site_type_symbol
_atom_site_fract_x
_atom_site_fract_y
_atom_site_fract_z
Ba1 Ba 0.000 0.000 0.000
Mg1 Mg 0.000 0.000 0.519
Mg2 Mg 0.500 0.500 0.302
Ta1 Ta 0.500 0.500 0.712
```

2.
Computed, not measured: a geometry-optimized BaMgTa2 structure at the GGA-PBE level of DFT.

E, eV per atom: -5.9218

Cell and atoms, written as CIF:
```
data_BaMgTa2
_cell_length_a 3.103
_cell_length_b 4.356
_cell_length_c 7.643
_cell_angle_alpha 90.00
_cell_angle_beta 90.00
_cell_angle_gamma 90.00
_space_group_name_H-M_alt 'P 1'
_space_group_IT_number 1
loop_
_space_group_symop_operation_xyz
'x,y,z'
loop_
_atom_site_label
_atom_site_type_symbol
_atom_site_fract_x
_atom_site_fract_y
_atom_site_fract_z
Ba1 Ba 0.000 0.000 0.000
Mg1 Mg 0.000 0.000 0.500
Ta1 Ta 0.500 0.500 0.332
Ta2 Ta 0.500 0.500 0.668
```

3.
Computed, not measured: a geometry-optimized BaMgTa2 structure at the GGA-PBE level of DFT.

E, eV per atom: -5.9078

Cell and atoms, written as CIF:
```
data_BaMgTa2
_cell_length_a 3.007
_cell_length_b 3.007
_cell_length_c 10.314
_cell_angle_alpha 90.00
_cell_angle_beta 90.00
_cell_angle_gamma 90.00
_space_group_name_H-M_alt 'P 1'
_space_group_IT_number 1
loop_
_space_group_symop_operation_xyz
'x,y,z'
loop_
_atom_site_label
_atom_site_type_symbol
_atom_site_fract_x
_atom_site_fract_y
_atom_site_fract_z
Ba1 Ba 0.000 0.000 0.000
Mg1 Mg 0.000 0.000 0.500
Ta1 Ta 0.500 0.500 0.293
Ta2 Ta 0.500 0.500 0.707
```

4.
Computed, not measured: a geometry-optimized BaMg2Ta structure at the GGA-PBE level of DFT.

E, eV per atom: -3.5780

Cell and atoms, written as CIF:
```
data_BaMg2Ta
_cell_length_a 6.109
_cell_length_b 6.109
_cell_length_c 5.865
_cell_angle_alpha 107.55
_cell_angle_beta 107.55
_cell_angle_gamma 30.11
_space_group_name_H-M_alt 'P 1'
_space_group_IT_number 1
loop_
_space_group_symop_operation_xyz
'x,y,z'
loop_
_atom_site_label
_atom_site_type_symbol
_atom_site_fract_x
_atom_site_fract_y
_atom_site_fract_z
Ba1 Ba 0.000 0.000 0.000
Mg1 Mg 0.224 0.224 0.639
Mg2 Mg 0.469 0.469 0.476
Ta1 Ta 0.767 0.767 0.189
```

5.
Computed, not measured: a geometry-optimized BaMgTa2 structure at the GGA-PBE level of DFT.

E, eV per atom: -6.3360

Cell and atoms, written as CIF:
```
data_BaMgTa2
_cell_length_a 3.561
_cell_length_b 3.532
_cell_length_c 8.462
_cell_angle_alpha 90.00
_cell_angle_beta 90.01
_cell_angle_gamma 90.00
_space_group_name_H-M_alt 'P 1'
_space_group_IT_number 1
loop_
_space_group_symop_operation_xyz
'x,y,z'
loop_
_atom_site_label
_atom_site_type_symbol
_atom_site_fract_x
_atom_site_fract_y
_atom_site_fract_z
Ba1 Ba 0.000 0.000 0.000
Mg1 Mg 0.501 0.500 0.658
Ta1 Ta 0.002 0.000 0.444
Ta2 Ta 0.502 0.500 0.310
```

6.
Computed, not measured: a geometry-optimized BaMg2Ta structure at the GGA-PBE level of DFT.

E, eV per atom: -3.6695

Cell and atoms, written as CIF:
```
data_BaMg2Ta
_cell_length_a 11.602
_cell_length_b 11.602
_cell_length_c 11.602
_cell_angle_alpha 15.86
_cell_angle_beta 15.86
_cell_angle_gamma 15.86
_space_group_name_H-M_alt 'P 1'
_space_group_IT_number 1
loop_
_space_group_symop_operation_xyz
'x,y,z'
loop_
_atom_site_label
_atom_site_type_symbol
_atom_site_fract_x
_atom_site_fract_y
_atom_site_fract_z
Ba1 Ba 0.000 0.000 0.000
Mg1 Mg 0.238 0.238 0.238
Mg2 Mg 0.762 0.762 0.762
Ta1 Ta 0.500 0.500 0.500
```

7.
Computed, not measured: a geometry-optimized BaMgTa structure at the GGA-PBE level of DFT.

E, eV per atom: -4.3014

Cell and atoms, written as CIF:
```
data_BaMgTa
_cell_length_a 3.246
_cell_length_b 3.246
_cell_length_c 8.670
_cell_angle_alpha 90.00
_cell_angle_beta 90.00
_cell_angle_gamma 120.00
_space_group_name_H-M_alt 'P 1'
_space_group_IT_number 1
loop_
_space_group_symop_operation_xyz
'x,y,z'
loop_
_atom_site_label
_atom_site_type_symbol
_atom_site_fract_x
_atom_site_fract_y
_atom_site_fract_z
Ba1 Ba 0.000 0.000 0.000
Mg1 Mg 0.667 0.333 0.383
Ta1 Ta 0.333 0.667 0.658
```

8.
Computed, not measured: a geometry-optimized BaMgTa2 structure at the GGA-PBE level of DFT.

E, eV per atom: -5.9158

Cell and atoms, written as CIF:
```
data_BaMgTa2
_cell_length_a 5.073
_cell_length_b 5.073
_cell_length_c 5.073
_cell_angle_alpha 60.00
_cell_angle_beta 60.00
_cell_angle_gamma 60.00
_space_group_name_H-M_alt 'P 1'
_space_group_IT_number 1
loop_
_space_group_symop_operation_xyz
'x,y,z'
loop_
_atom_site_label
_atom_site_type_symbol
_atom_site_fract_x
_atom_site_fract_y
_atom_site_fract_z
Ba1 Ba 0.000 0.000 0.000
Mg1 Mg 0.250 0.250 0.250
Ta1 Ta 0.500 0.500 0.500
Ta2 Ta 0.750 0.750 0.750
```

| no. | mass density (g/cm3) |
| --- | --- |
| 1 | 5.9 |
| 2 | 8.4 |
| 3 | 9.3 |
| 4 | 5.8 |
| 5 | 8.2 |
| 6 | 6.0 |
| 7 | 7.2 |
| 8 | 9.4 |